1.
Below is an optimized crystal structure of KCu3As2, with properties calculated at the GGA-PBE level.

Cell: 17.486 4.072 8.163 Å, 90.00 117.80 90.00°
Space group C2/m (No. 12)
One atom of each set of equivalent atoms:
K1 0.169 0.000 0.168
Cu1 0.000 0.000 0.336
Cu2 0.108 0.500 0.459
Cu3 0.108 0.500 0.757
As1 0.000 0.500 0.149
As2 0.150 0.000 0.650

Summary:
- density (g/cm3) = 4.904
- E (eV/cell) = -92.7
- excess energy over the best structure of this formula in the dataset (eV/atom) = 0.0914
- total magnetic moment (Bohr magnetons per cell) = 0.0

2.
Below is an optimized crystal structure of PIrAuC, with properties calculated at the GGA-PBE level.

Cell: 4.139 2.997 5.317 Å, 90.00 95.32 90.00°
Space group Pm (No. 6)
One atom of each set of equivalent atoms:
P1 0.000 0.000 0.000
Ir1 0.657 0.500 0.760
Au1 0.130 0.000 0.442
C1 0.349 0.000 0.826

Summary:
- density (g/cm3) = 10.926
- E (eV/cell) = -25.2
- excess energy over the best structure of this formula in the dataset (eV/atom) = 0.0155
- total magnetic moment (Bohr magnetons per cell) = 0.0

3.
Below is an optimized crystal structure of CrRh4W, with properties calculated at the GGA-PBE level.

Cell: 5.456 8.914 7.762 Å, 90.00 109.64 90.00°
Space group C2/c (No. 15)
One atom of each set of equivalent atoms:
Cr1 0.000 0.125 0.250
Rh1 0.096 0.124 0.941
Rh2 0.100 0.374 0.440
W1 0.000 0.375 0.750

Summary:
- density (g/cm3) = 12.096
- E (eV/cell) = -206.4
- excess energy over the best structure of this formula in the dataset (eV/atom) = 0.1787
- total magnetic moment (Bohr magnetons per cell) = 6.0

4.
Below is an optimized crystal structure of CdSb2Se, with properties calculated at the GGA-PBE level.

Cell: 4.2840 4.2840 22.9210 Å, 90.00 90.00 120.00°
Space group R3m (No. 160, hexagonal axes)
One atom of each set of equivalent atoms:
Cd1 0.0000 0.0000 0.0000
Sb1 0.0000 0.0000 0.5154
Sb2 0.0000 0.0000 0.7793
Se1 0.0000 0.0000 0.2928

Summary:
- density (g/cm3) = 5.947
- uncorrected formation energy (eV/atom) = -0.1595
- E (eV/cell) = -39.8
- excess energy over the best structure of this formula in the dataset (eV/atom) = 0.0000
- total magnetic moment (Bohr magnetons per cell) = 0.0